Entry 1:
# Sm2Ga5IrRu2

Crystalline Sm2Ga5IrRu2 at its relaxed geometry (PBE, Alexandria).

Unit cell a=10.689 b=10.689 c=3.149 alpha=90.00 beta=90.00 gamma=90.00
Space group P4/mbm (No. 127)
One atom of each set of equivalent atoms:
Sm  0.181  0.319  0.000 (multiplicity 4)
Ga  0.000  0.500  0.500 (multiplicity 2)
Ga  0.054  0.808  0.500 (multiplicity 8)
Ir  0.000  0.000  0.000 (multiplicity 2)
Ru  0.128  0.628  0.000 (multiplicity 4)

Results
**DOS at the Fermi energy**: 12.501 states/eV per cell
**Uncorrected energy**: -5.579 eV per atom
**Energy of formation from the pure elements**: -0.38 eV per atom

***

Entry 2:
# Ga2SnIrRu

Crystalline Ga2SnIrRu at its relaxed geometry (PBE, Alexandria).

Unit cell a=4.732 b=4.732 c=5.156 alpha=90.00 beta=90.00 gamma=90.00
Space group P4/mmm (No. 123)
One atom of each set of equivalent atoms:
Ga  0.000  0.500  0.000 (multiplicity 2)
Sn  0.000  0.000  0.500 (multiplicity 1)
Ir  0.000  0.000  0.000 (multiplicity 1)
Ru  0.500  0.500  0.500 (multiplicity 1)

Results
**DOS at the Fermi energy**: 7.580 states/eV per cell
**Uncorrected energy**: -5.006 eV per atom
**Energy of formation from the pure elements**: 0.63 eV per atom

***

Entry 3:
# SrGa2IrRu

Crystalline SrGa2IrRu at its relaxed geometry (PBE, Alexandria).

Unit cell a=4.316 b=4.316 c=10.562 alpha=90.00 beta=90.00 gamma=90.00
Space group I-4m2 (No. 119)
One atom of each set of equivalent atoms:
Sr  0.000  0.000  0.000 (multiplicity 2)
Ga  0.000  0.000  0.369 (multiplicity 4)
Ir  0.000  0.500  0.250 (multiplicity 2)
Ru  0.000  0.500  0.750 (multiplicity 2)

Results
**DOS at the Fermi energy**: 8.174 states/eV per cell
**Uncorrected energy**: -5.563 eV per atom
**Energy of formation from the pure elements**: -0.39 eV per atom

***

Entry 4:
# SrGa4IrRu2

Crystalline SrGa4IrRu2 at its relaxed geometry (PBE, Alexandria).

Unit cell a=4.2594 b=4.2594 c=27.8117 alpha=90.00 beta=90.00 gamma=120.00
Space group R-3m (No. 166, hexagonal axes)
One atom of each set of equivalent atoms:
Sr  0.0000  0.0000  0.0000 (multiplicity 3)
Ga  0.0000  0.0000  0.1324 (multiplicity 6)
Ga  0.0000  0.0000  0.4076 (multiplicity 6)
Ir  0.0000  0.0000  0.5000 (multiplicity 3)
Ru  0.0000  0.0000  0.2304 (multiplicity 6)

Results
**DOS at the Fermi energy**: 14.506 states/eV per cell
**Uncorrected energy**: -5.498 eV per atom
**Energy of formation from the pure elements**: -0.35 eV per atom